{"formula": "PmSm6Cd", "functional": "GGA-PBE", "state": "optimized geometry", "dos_ef_per_ev_cell": 10.52, "rho_g_cm3": 7.3, "formation_energy_ev_per_atom": 0.038, "magmom_total_mub_per_fu": 0.000, "space_group": "No. 2", "cell": [[-0.169, 3.999, 8.586], [4.366, -3.218, 6.806], [4.217, 2.606, 4.089]], "species": ["Sm", "Sm", "Sm", "Sm", "Sm", "Sm", "Pm", "Cd"], "frac_coords": [[0.240, 0.042, 0.269], [0.760, 0.958, 0.731], [0.957, 0.551, 0.252], [0.043, 0.449, 0.748], [0.449, 0.760, 0.833], [0.551, 0.240, 0.167], [0.500, 0.500, 0.500], [0.000, 0.000, 0.000]]}

***

{"formula": "Pm8Sm2Cd", "functional": "GGA-PBE", "state": "optimized geometry", "dos_ef_per_ev_cell": 15.17, "rho_g_cm3": 7.2, "formation_energy_ev_per_atom": -0.018, "magmom_total_mub_per_fu": 0.000, "space_group": "No. 12", "cell": [[5.097, 0.000, 0.000], [0.000, 8.036, 0.465], [-2.549, -2.945, 8.682]], "species": ["Sm", "Sm", "Pm", "Pm", "Pm", "Pm", "Pm", "Pm", "Pm", "Pm", "Cd"], "frac_coords": [[0.224, 0.635, 0.449], [0.776, 0.365, 0.551], [0.135, 0.178, 0.271], [0.680, 0.910, 0.360], [0.589, 0.444, 0.179], [0.955, 0.276, 0.910], [0.411, 0.556, 0.821], [0.045, 0.724, 0.090], [0.865, 0.822, 0.729], [0.320, 0.090, 0.640], [0.500, 0.000, 0.000]]}

***

{"formula": "Pm2SmCd", "functional": "GGA-PBE", "state": "optimized geometry", "dos_ef_per_ev_cell": 4.63, "rho_g_cm3": 6.8, "formation_energy_ev_per_atom": 0.158, "magmom_total_mub_per_fu": 0.000, "space_group": "No. 166", "cell": [[3.535, 0.000, 0.000], [1.767, 3.061, 0.000], [1.767, 1.020, 12.430]], "species": ["Sm", "Pm", "Pm", "Cd"], "frac_coords": [[0.500, 0.500, 0.500], [0.088, 0.088, 0.735], [0.912, 0.912, 0.265], [0.000, 0.000, 0.000]]}

***

{"formula": "Pm2Sm2Cd", "functional": "GGA-PBE", "state": "optimized geometry", "dos_ef_per_ev_cell": 6.77, "rho_g_cm3": 7.4, "formation_energy_ev_per_atom": -0.115, "magmom_total_mub_per_fu": 0.000, "space_group": "No. 139", "cell": [[3.631, 0.000, -0.583], [-0.093, 3.629, -0.583], [0.064, 0.066, 12.005]], "species": ["Cd", "Pm", "Pm", "Sm", "Sm"], "frac_coords": [[0.000, 0.000, 0.000], [0.195, 0.195, 0.391], [0.805, 0.805, 0.609], [0.588, 0.588, 0.175], [0.412, 0.412, 0.825]]}

***

{"formula": "Pm12Sm5Cd2", "functional": "GGA-PBE", "state": "optimized geometry", "dos_ef_per_ev_cell": 27.12, "rho_g_cm3": 7.2, "formation_energy_ev_per_atom": 0.036, "magmom_total_mub_per_fu": 0.000, "space_group": "No. 12", "cell": [[-6.665, -6.465, -0.718], [6.377, -0.590, 6.520], [-5.171, 4.786, 4.917]], "species": ["Pm", "Pm", "Pm", "Pm", "Pm", "Pm", "Pm", "Pm", "Pm", "Pm", "Pm", "Pm", "Sm", "Sm", "Sm", "Sm", "Sm", "Cd", "Cd"], "frac_coords": [[0.330, 0.291, 0.236], [0.443, 0.887, 0.670], [0.179, 0.747, 0.323], [0.922, 0.845, 0.118], [0.961, 0.291, 0.236], [0.039, 0.709, 0.764], [0.078, 0.155, 0.882], [0.433, 0.253, 0.677], [0.557, 0.113, 0.330], [0.821, 0.253, 0.677], [0.567, 0.747, 0.323], [0.670, 0.709, 0.764], [0.000, 0.000, 0.500], [0.699, 0.398, 0.021], [0.767, 0.535, 0.426], [0.301, 0.602, 0.979], [0.233, 0.465, 0.574], [0.331, 0.000, 0.000], [0.669, 0.000, 0.000]]}

***

{"formula": "Pm4SmCd", "functional": "GGA-PBE", "state": "optimized geometry", "dos_ef_per_ev_cell": 7.63, "rho_g_cm3": 7.2, "formation_energy_ev_per_atom": -0.096, "magmom_total_mub_per_fu": 0.000, "space_group": "No. 123", "cell": [[3.665, 0.000, 0.000], [0.000, 3.665, 0.000], [0.000, 0.000, 14.387]], "species": ["Pm", "Pm", "Pm", "Pm", "Sm", "Cd"], "frac_coords": [[0.000, 0.000, 0.355], [0.000, 0.000, 0.645], [0.500, 0.500, 0.822], [0.500, 0.500, 0.178], [0.000, 0.000, 0.000], [0.500, 0.500, 0.500]]}

***

{"formula": "PmSmCd2", "functional": "GGA-PBE", "state": "optimized geometry", "dos_ef_per_ev_cell": 4.60, "rho_g_cm3": 7.7, "formation_energy_ev_per_atom": -0.319, "magmom_total_mub_per_fu": 0.832, "space_group": "No. 123", "cell": [[3.851, 0.000, 0.000], [0.000, 5.385, 0.000], [0.000, 0.000, 5.385]], "species": ["Pm", "Cd", "Cd", "Sm"], "frac_coords": [[0.500, 0.000, 0.000], [0.000, 0.500, 0.000], [0.000, 0.000, 0.500], [0.500, 0.500, 0.500]]}

***

{"formula": "PmSmCd2", "functional": "GGA-PBE", "state": "optimized geometry", "dos_ef_per_ev_cell": 4.25, "rho_g_cm3": 7.7, "formation_energy_ev_per_atom": -0.321, "magmom_total_mub_per_fu": 0.855, "space_group": "No. 225", "cell": [[-1.856, -3.569, 3.614], [0.720, -5.297, -0.815], [3.466, -2.765, 3.095]], "species": ["Cd", "Cd", "Sm", "Pm"], "frac_coords": [[0.250, 0.250, 0.250], [0.750, 0.750, 0.750], [0.500, 0.500, 0.500], [0.000, 0.000, 0.000]]}

***

{"formula": "PmSm5Cd6", "functional": "GGA-PBE", "state": "optimized geometry", "dos_ef_per_ev_cell": 14.35, "rho_g_cm3": 7.8, "formation_energy_ev_per_atom": -0.318, "magmom_total_mub_per_fu": 2.468, "space_group": "No. 65", "cell": [[5.104, -0.030, 1.701], [0.041, 7.684, 0.014], [0.000, -0.015, 8.508]], "species": ["Cd", "Cd", "Cd", "Cd", "Cd", "Cd", "Sm", "Sm", "Sm", "Sm", "Sm", "Pm"], "frac_coords": [[0.167, 0.749, 0.666], [0.500, 0.749, 0.000], [0.500, 0.251, 0.000], [0.833, 0.749, 0.334], [0.167, 0.251, 0.666], [0.833, 0.251, 0.334], [0.000, 0.500, 0.000], [0.333, 0.000, 0.334], [0.334, 0.500, 0.333], [0.667, 0.000, 0.666], [0.666, 0.500, 0.667], [0.000, 0.000, 0.000]]}

***

{"formula": "PmSm4Cd2", "functional": "GGA-PBE", "state": "optimized geometry", "dos_ef_per_ev_cell": 13.94, "rho_g_cm3": 6.6, "formation_energy_ev_per_atom": 0.206, "magmom_total_mub_per_fu": 0.001, "space_group": "No. 166", "cell": [[-4.382, 1.944, 1.939], [-1.032, -0.479, 5.045], [3.055, 9.594, 4.186]], "species": ["Sm", "Sm", "Sm", "Sm", "Pm", "Cd", "Cd"], "frac_coords": [[0.702, 0.702, 0.893], [0.108, 0.108, 0.675], [0.892, 0.892, 0.325], [0.298, 0.298, 0.107], [0.500, 0.500, 0.500], [0.400, 0.400, 0.800], [0.600, 0.600, 0.200]]}

***

{"formula": "Pm2SmCd4", "functional": "GGA-PBE", "state": "optimized geometry", "dos_ef_per_ev_cell": 5.14, "rho_g_cm3": 7.1, "formation_energy_ev_per_atom": -0.167, "magmom_total_mub_per_fu": 0.404, "space_group": "No. 139", "cell": [[5.139, 0.000, -1.638], [-0.522, 5.112, -1.638], [-0.255, -0.282, 8.079]], "species": ["Cd", "Cd", "Cd", "Cd", "Sm", "Pm", "Pm"], "frac_coords": [[0.387, 0.887, 0.774], [0.613, 0.113, 0.226], [0.887, 0.387, 0.774], [0.113, 0.613, 0.226], [0.000, 0.000, 0.000], [0.261, 0.261, 0.522], [0.739, 0.739, 0.478]]}

***

{"formula": "PmSmCd17", "functional": "GGA-PBE", "state": "optimized geometry", "dos_ef_per_ev_cell": 4.26, "rho_g_cm3": 8.4, "formation_energy_ev_per_atom": -0.142, "magmom_total_mub_per_fu": 0.000, "space_group": "No. 160", "cell": [[-4.761, 4.123, -4.368], [-6.442, -1.327, 3.936], [0.007, 6.407, 4.206]], "species": ["Cd", "Cd", "Cd", "Cd", "Cd", "Cd", "Cd", "Cd", "Cd", "Cd", "Cd", "Cd", "Cd", "Cd", "Cd", "Cd", "Cd", "Sm", "Pm"], "frac_coords": [[0.361, 0.361, 0.836], [0.499, 0.001, 0.001], [0.301, 0.000, 0.699], [0.641, 0.641, 0.159], [0.699, 0.301, 0.000], [0.361, 0.836, 0.361], [0.641, 0.159, 0.641], [0.159, 0.641, 0.641], [0.001, 0.001, 0.499], [0.001, 0.499, 0.001], [0.000, 0.699, 0.301], [0.101, 0.101, 0.101], [0.699, 0.000, 0.301], [0.899, 0.899, 0.899], [0.000, 0.301, 0.699], [0.836, 0.361, 0.361], [0.301, 0.699, 0.000], [0.330, 0.330, 0.330], [0.670, 0.670, 0.670]]}

***

{"formula": "Pm2Sm3Cd2", "functional": "GGA-PBE", "state": "optimized geometry", "dos_ef_per_ev_cell": 7.14, "rho_g_cm3": 7.5, "formation_energy_ev_per_atom": -0.155, "magmom_total_mub_per_fu": 0.000, "space_group": "No. 12", "cell": [[5.508, 0.000, 0.000], [-2.754, 4.766, -0.297], [0.000, -2.660, 8.306]], "species": ["Cd", "Cd", "Sm", "Sm", "Sm", "Pm", "Pm"], "frac_coords": [[0.211, 0.423, 0.134], [0.789, 0.577, 0.866], [0.500, 0.000, 0.000], [0.657, 0.315, 0.472], [0.343, 0.685, 0.528], [0.074, 0.149, 0.724], [0.926, 0.851, 0.276]]}

***

{"formula": "PmSmCdTc", "functional": "GGA-PBE", "state": "optimized geometry", "dos_ef_per_ev_cell": 1.97, "rho_g_cm3": 8.7, "formation_energy_ev_per_atom": -0.014, "magmom_total_mub_per_fu": 0.000, "space_group": "No. 216", "cell": [[-4.018, 3.091, 0.921], [-4.148, -0.189, -3.050], [-4.415, -1.975, 1.775]], "species": ["Tc", "Cd", "Pm", "Sm"], "frac_coords": [[0.750, 0.750, 0.750], [0.250, 0.250, 0.250], [0.000, 0.000, 0.000], [0.500, 0.500, 0.500]]}

***

{"formula": "PmSmThCd", "functional": "GGA-PBE", "state": "optimized geometry", "dos_ef_per_ev_cell": 3.55, "rho_g_cm3": 8.8, "formation_energy_ev_per_atom": -0.166, "magmom_total_mub_per_fu": 0.000, "space_group": "No. 99", "cell": [[-0.942, -3.115, 1.654], [3.258, -1.424, -0.826], [3.350, 3.133, 7.808]], "species": ["Th", "Cd", "Sm", "Pm"], "frac_coords": [[0.500, 0.500, 0.820], [0.500, 0.500, 0.323], [0.000, 0.000, 0.555], [0.000, 0.000, 0.087]]}

***

{"formula": "PmSmThCd", "functional": "GGA-PBE", "state": "optimized geometry", "dos_ef_per_ev_cell": 6.44, "rho_g_cm3": 8.8, "formation_energy_ev_per_atom": 0.077, "magmom_total_mub_per_fu": 0.010, "space_group": "No. 216", "cell": [[5.549, 0.000, 0.000], [2.775, 4.806, 0.000], [2.775, 1.602, 4.531]], "species": ["Th", "Sm", "Pm", "Cd"], "frac_coords": [[0.250, 0.250, 0.250], [0.000, 0.000, 0.000], [0.500, 0.500, 0.500], [0.750, 0.750, 0.750]]}

***

{"formula": "PmSmTlCd", "functional": "GGA-PBE", "state": "optimized geometry", "dos_ef_per_ev_cell": 4.91, "rho_g_cm3": 8.9, "formation_energy_ev_per_atom": -0.359, "magmom_total_mub_per_fu": 0.499, "space_group": "No. 216", "cell": [[-1.559, -1.132, -5.096], [0.292, -5.110, -1.866], [-4.563, -2.841, -0.885]], "species": ["Sm", "Pm", "Tl", "Cd"], "frac_coords": [[0.000, 0.000, 0.000], [0.500, 0.500, 0.500], [0.250, 0.250, 0.250], [0.750, 0.750, 0.750]]}

***

{"formula": "PmSmTmCd", "functional": "GGA-PBE", "state": "optimized geometry", "dos_ef_per_ev_cell": 3.65, "rho_g_cm3": 8.0, "formation_energy_ev_per_atom": -0.147, "magmom_total_mub_per_fu": 0.000, "space_group": "No. 99", "cell": [[3.627, 0.000, 0.000], [0.000, 3.627, 0.000], [0.000, 0.000, 9.072]], "species": ["Pm", "Sm", "Tm", "Cd"], "frac_coords": [[0.000, 0.000, 0.078], [0.500, 0.500, 0.796], [0.500, 0.500, 0.350], [0.000, 0.000, 0.561]]}

***

{"formula": "PmSmTmCd", "functional": "GGA-PBE", "state": "optimized geometry", "dos_ef_per_ev_cell": 5.13, "rho_g_cm3": 8.1, "formation_energy_ev_per_atom": -0.051, "magmom_total_mub_per_fu": 0.000, "space_group": "No. 216", "cell": [[5.502, 0.000, 0.000], [2.751, 4.765, 0.000], [2.751, 1.588, 4.492]], "species": ["Tm", "Pm", "Cd", "Sm"], "frac_coords": [[0.500, 0.500, 0.500], [0.250, 0.250, 0.250], [0.000, 0.000, 0.000], [0.750, 0.750, 0.750]]}

***

{"formula": "PmSmYCd", "functional": "GGA-PBE", "state": "optimized geometry", "dos_ef_per_ev_cell": 4.19, "rho_g_cm3": 6.8, "formation_energy_ev_per_atom": -0.156, "magmom_total_mub_per_fu": 0.000, "space_group": "No. 99", "cell": [[-1.001, 3.490, -0.441], [-0.746, -0.659, -3.520], [-8.546, -2.170, 2.217]], "species": ["Pm", "Cd", "Sm", "Y"], "frac_coords": [[0.000, 0.000, 0.074], [0.000, 0.000, 0.566], [0.500, 0.500, 0.795], [0.500, 0.500, 0.350]]}